The following is a DFT calculation (PBE) of crystalline Mg4AlHg at its relaxed geometry.

Values from the calculation:
Fermi-level density of states   0.1703 states/eV per atom
Offset from the most stable computed form   37 meV per atom
Energy of formation from the pure elements   -0.04 eV/atom

```
Mg4AlHg
1.0
-3.6829 -0.5236 -6.9736
-3.8153 -4.0474 2.3188
-2.0092 5.6453 0.6373
Mg Al Hg
8 2 2
direct
0.3068 0.7493 0.7497
0.8068 0.7507 0.2503
0.6932 0.7495 0.7499
0.1932 0.7505 0.2501
0.3068 0.2505 0.2501
0.1932 0.2493 0.7497
0.8068 0.2495 0.7499
0.6932 0.2507 0.2503
0.5000 0.0000 0.5000
0.0000 0.5000 0.5000
0.0000 0.0000 0.0000
0.5000 0.5000 0.0000
```